(1)
# PBE-GGA SnCSNF, relaxed
data_SnCSNF
_symmetry_space_group_name_H-M 'P n m a'
_symmetry_Int_Tables_number 62
_cell_length_a 7.7988
_cell_length_b 4.4003
_cell_length_c 12.5986
_cell_angle_alpha 90.00
_cell_angle_beta 90.00
_cell_angle_gamma 90.00
loop_
_symmetry_equiv_pos_as_xyz
'x,y,z'
'-x,-y,-z'
'-x+1/2,-y,z+1/2'
'x+1/2,y,-z+1/2'
'x+1/2,-y+1/2,-z+1/2'
'-x+1/2,y+1/2,z+1/2'
'-x,y+1/2,-z'
'x,-y+1/2,z'
loop_
_atom_site_label
_atom_site_fract_x
_atom_site_fract_y
_atom_site_fract_z
_atom_site_occupancy
Sn1 0.1413 0.2500 0.0924 1
C1 0.0690 0.7500 0.3922 1
S1 0.0813 0.2500 0.6961 1
N1 0.1832 0.7500 0.4545 1
F1 0.0775 0.7500 0.0277 1
# Uncorrected formation energy ... -0.604 eV/atom
# Size of the total moment ... 0.0000 μB per atom

(2)
# PBE-GGA SbC2N2F5, relaxed
data_SbC2N2F5
_symmetry_space_group_name_H-M 'C 2 2 21'
_symmetry_Int_Tables_number 20
_cell_length_a 6.7800
_cell_length_b 16.4939
_cell_length_c 6.6387
_cell_angle_alpha 90.00
_cell_angle_beta 90.00
_cell_angle_gamma 90.00
loop_
_symmetry_equiv_pos_as_xyz
'x,y,z'
'-x,-y,z+1/2'
'x,-y,-z'
'-x,y,-z+1/2'
'x+1/2,y+1/2,z'
'-x+1/2,-y+1/2,z+1/2'
'x+1/2,-y+1/2,-z'
'-x+1/2,y+1/2,-z+1/2'
loop_
_atom_site_label
_atom_site_fract_x
_atom_site_fract_y
_atom_site_fract_z
_atom_site_occupancy
Sb1 0.0000 0.1308 0.2500 1
C1 0.0000 0.3362 0.2500 1
C2 0.0000 0.4192 0.2500 1
N1 0.0000 0.2659 0.2500 1
N2 0.0000 0.4900 0.2500 1
F1 0.0000 0.0165 0.2500 1
F2 0.1927 0.1430 0.0436 1
F3 0.2020 0.1431 0.4470 1
# Uncorrected formation energy ... -1.094 eV/atom
# Size of the total moment ... 0.0097 μB per atom

(3)
# PBE-GGA SbCNF2, relaxed
data_SbCNF2
_symmetry_space_group_name_H-M 'P 4/m m m'
_symmetry_Int_Tables_number 123
_symmetry_space_group_name_Hall '-P 4 2'
_cell_length_a 4.2146
_cell_length_b 4.2146
_cell_length_c 4.1076
_cell_angle_alpha 90.00
_cell_angle_beta 90.00
_cell_angle_gamma 90.00
loop_
_atom_site_label
_atom_site_fract_x
_atom_site_fract_y
_atom_site_fract_z
_atom_site_occupancy
Sb1 0.0000 0.0000 0.0000 1
C1 0.5000 0.5000 0.5000 1
N1 0.0000 0.0000 0.5000 1
F1 0.0000 0.5000 0.0000 1
# Uncorrected formation energy ... 0.822 eV/atom
# Size of the total moment ... 0.2512 μB per atom

(4)
# PBE-GGA SbCNF2, relaxed
data_SbCNF2
_symmetry_space_group_name_H-M 'P 4/m m m'
_symmetry_Int_Tables_number 123
_symmetry_space_group_name_Hall '-P 4 2'
_cell_length_a 3.8318
_cell_length_b 3.8318
_cell_length_c 3.8218
_cell_angle_alpha 90.00
_cell_angle_beta 90.00
_cell_angle_gamma 90.00
loop_
_atom_site_label
_atom_site_fract_x
_atom_site_fract_y
_atom_site_fract_z
_atom_site_occupancy
Sb1 0.0000 0.0000 0.0000 1
C1 0.5000 0.5000 0.5000 1
N1 0.5000 0.5000 0.0000 1
F1 0.0000 0.5000 0.5000 1
# Uncorrected formation energy ... 0.759 eV/atom
# Size of the total moment ... 0.0000 μB per atom

Number 1: uncorrected energy -6.114 eV/atom. Number 2: uncorrected energy -5.951 eV/atom. Number 3: uncorrected energy -4.261 eV/atom. Number 4: uncorrected energy -4.324 eV/atom.